# CoRuW2

CoRuW2 after structural relaxation (PBE, Alexandria via LeMat-Bulk).

Cell lengths 3.8397, 3.8397, 17.1131 Å; angles 90.00, 90.00, 90.00 degrees
Space group I-42d (No. 122)
Symmetry-distinct sites (fractional):
Co 0.0000 0.0000 0.0000 [4 per cell]
Ru 0.0000 0.0000 0.5000 [4 per cell]
W 0.2327 0.2500 0.1250 [8 per cell]

Summary:
Energy relative to the elements, meV/atom: 801
ΔE to the lowest computed polymorph, eV/f.u.: 3.04
Size of the total moment, μB/f.u.: 0.64
Volume, Å³ per atom: 15.77
N(E_F), states/eV per atom: 1.196